DFT (PBE) results for a relaxed La8NdSm3 crystal.

Unit cell a=8.8867 b=8.8867 c=8.8867 alpha=134.87 beta=100.38 gamma=96.56
With the nearest neighbours (Å) after each atom.
Fractional coordinates of all 12 atoms:
La 0.0844 0.2500 0.8344  4 Sm 3.51-3.90, 1 Nd 3.51, 7 La 3.54-3.91
La 0.2731 0.2235 0.4967  1 La 3.05, 1 Sm 3.20
La 0.2731 0.7765 0.0496  1 La 3.05, 1 Sm 3.20
La 0.4156 0.2500 0.1656  4 Sm 3.51-3.90, 1 Nd 3.51, 7 La 3.54-3.91
La 0.5844 0.7500 0.8344  4 Sm 3.51-3.90, 1 Nd 3.51, 7 La 3.54-3.91
La 0.7269 0.2235 0.9504  1 La 3.05, 1 Sm 3.20
La 0.7269 0.7765 0.5033  1 La 3.05, 1 Sm 3.20
La 0.9156 0.7500 0.1656  4 Sm 3.51-3.90, 1 Nd 3.51, 7 La 3.54-3.91
Nd 0.0000 0.0000 0.0000  8 La 3.46-3.51
Sm 0.2653 0.7653 0.5000  10 La 3.81-4.09
Sm 0.5000 0.5000 0.0000  8 La 3.20-3.51
Sm 0.7347 0.2347 0.5000  10 La 3.81-4.09

Summary:
- DOS at the Fermi energy (states/eV/atom) = 1.717
- E_form (eV per atom) = 0.2893
- M_tot (μB per formula unit) = 0.0